#1
Density functional theory data (PBE-GGA) for a geometry-optimized YCrHg2 structure.

Unit cell a=3.726 b=3.726 c=6.606 alpha=90.00 beta=90.00 gamma=90.00
Space group P4mm (No. 99)
Unique sites:
Y1 0.000 0.000 0.000
Cr1 0.500 0.500 0.272
Hg1 0.000 0.000 0.470
Hg2 0.500 0.500 0.739

The volume is 91.7 Å³/f.u. The calculation puts the density at 9.82 Mg/m³.

---

#2
Density functional theory data (PBE-GGA) for a geometry-optimized YCrHg2 structure.

Unit cell a=3.5523 b=3.5523 c=26.9985 alpha=90.00 beta=90.00 gamma=120.00
Space group R3m (No. 160, hexagonal axes)
Unique sites:
Y1 0.0000 0.0000 0.0000
Cr1 0.0000 0.0000 0.2480
Hg1 0.0000 0.0000 0.5078
Hg2 0.0000 0.0000 0.7560

The volume is 98.3 Å³/f.u. The calculation puts the density at 9.15 Mg/m³.

---

The data favor #1; the next most stable structure lies 173 meV per atom above it.

---

#1
Density functional theory data (PBE-GGA) for a geometry-optimized ZrCrHg2 structure.

Unit cell a=3.314 b=3.314 c=7.347 alpha=90.00 beta=90.00 gamma=90.00
Space group P4/mmm (No. 123)
Unique sites:
Zr1 0.000 0.000 0.000
Cr1 0.000 0.000 0.500
Hg1 0.500 0.500 0.271

The volume is 80.7 Å³/f.u. The calculation puts the density at 11.21 Mg/m³.

---

#2
Density functional theory data (PBE-GGA) for a geometry-optimized ZrCrHg2 structure.

Unit cell a=4.150 b=4.150 c=20.629 alpha=90.00 beta=90.00 gamma=90.00
Space group I-42d (No. 122)
Unique sites:
Zr1 0.000 0.000 0.000
Cr1 0.000 0.000 0.500
Hg1 0.239 0.250 0.625

The volume is 88.8 Å³/f.u. The calculation puts the density at 10.18 Mg/m³.

---

#3
Density functional theory data (PBE-GGA) for a geometry-optimized ZrCrHg2 structure.

Unit cell a=4.292 b=4.292 c=8.768 alpha=90.00 beta=90.00 gamma=90.00
Space group I-4m2 (No. 119)
Unique sites:
Zr1 0.000 0.000 0.000
Cr1 0.000 0.500 0.750
Hg1 0.000 0.000 0.500
Hg2 0.000 0.500 0.250

The volume is 80.8 Å³/f.u. The calculation puts the density at 11.19 Mg/m³.

---

#4
Density functional theory data (PBE-GGA) for a geometry-optimized ZrCrHg2 structure.

Unit cell a=6.329 b=8.180 c=3.178 alpha=90.00 beta=90.00 gamma=90.00
Space group Cmmm (No. 65)
Unique sites:
Zr1 0.000 0.000 0.000
Cr1 0.000 0.500 0.000
Hg1 0.250 0.250 0.500

The volume is 82.3 Å³/f.u. The calculation puts the density at 10.99 Mg/m³.

---

The data favor #1; the next most stable structure lies 76 meV per atom above it.

---

#1
Density functional theory data (PBE-GGA) for a geometry-optimized ZrCrHg2 structure.

Unit cell a=6.869 b=6.869 c=6.869 alpha=90.00 beta=90.00 gamma=90.00
Space group Fm-3m (No. 225)
Unique sites:
Zr1 0.000 0.000 0.000
Cr1 0.000 0.000 0.500
Hg1 0.250 0.250 0.250

The volume is 81.0 Å³/f.u. The calculation puts the density at 11.16 Mg/m³.

---

#2
Density functional theory data (PBE-GGA) for a geometry-optimized ZrCrHg2 structure.

Unit cell a=3.2493 b=3.2493 c=27.8162 alpha=90.00 beta=90.00 gamma=120.00
Space group R3m (No. 160, hexagonal axes)
Unique sites:
Zr1 0.0000 0.0000 0.0000
Cr1 0.0000 0.0000 0.7406
Hg1 0.0000 0.0000 0.2448
Hg2 0.0000 0.0000 0.4860

The volume is 84.8 Å³/f.u. The calculation puts the density at 10.66 Mg/m³.

---

#3
Density functional theory data (PBE-GGA) for a geometry-optimized ZrCrHg2 structure.

Unit cell a=3.1957 b=3.1957 c=28.4360 alpha=90.00 beta=90.00 gamma=120.00
Space group R-3m (No. 166, hexagonal axes)
Unique sites:
Zr1 0.0000 0.0000 0.0000
Cr1 0.0000 0.0000 0.5000
Hg1 0.0000 0.0000 0.2444

The volume is 83.8 Å³/f.u. The calculation puts the density at 10.78 Mg/m³.

---

The data favor #1; the next most stable structure lies 142 meV per atom above it.

---

#1
Density functional theory data (PBE-GGA) for a geometry-optimized ZrCrHg2 structure.

Unit cell a=4.352 b=4.352 c=4.280 alpha=90.00 beta=90.00 gamma=90.00
Space group P4/mmm (No. 123)
Unique sites:
Zr1 0.000 0.000 0.000
Cr1 0.500 0.500 0.000
Hg1 0.000 0.500 0.500

The volume is 81.1 Å³/f.u. The calculation puts the density at 11.15 Mg/m³.

---

#2
Density functional theory data (PBE-GGA) for a geometry-optimized ZrCrHg2 structure.

Unit cell a=3.108 b=4.038 c=6.424 alpha=90.00 beta=90.09 gamma=90.00
Space group P2/m (No. 10)
Unique sites:
Zr1 0.000 0.000 0.000
Cr1 0.000 0.000 0.500
Hg1 0.500 0.500 0.265

The volume is 80.6 Å³/f.u. The calculation puts the density at 11.21 Mg/m³.

---

#3
Density functional theory data (PBE-GGA) for a geometry-optimized ZrCrHg2 structure.

Unit cell a=6.879 b=6.879 c=6.879 alpha=90.00 beta=90.00 gamma=90.00
Space group F-43m (No. 216)
Unique sites:
Zr1 0.000 0.000 0.000
Cr1 0.250 0.250 0.250
Hg1 0.000 0.000 0.500
Hg2 0.250 0.250 0.750

The volume is 81.4 Å³/f.u. The calculation puts the density at 11.11 Mg/m³.

---

#4
Density functional theory data (PBE-GGA) for a geometry-optimized ZrCrHg2 structure.

Unit cell a=3.252 b=3.252 c=7.693 alpha=90.00 beta=90.00 gamma=90.00
Space group P4mm (No. 99)
Unique sites:
Zr1 0.000 0.000 0.000
Cr1 0.500 0.500 0.222
Hg1 0.000 0.000 0.445
Hg2 0.500 0.500 0.723

The volume is 81.4 Å³/f.u. The calculation puts the density at 11.11 Mg/m³.

---

The data favor #4; the next most stable structure lies 23 meV per atom above it.

---

#1
Density functional theory data (PBE-GGA) for a geometry-optimized ZrCrHg2 structure.

Unit cell a=10.250 b=3.216 c=5.137 alpha=90.00 beta=107.01 gamma=90.00
Space group Cm (No. 8)
Unique sites:
Zr1 0.000 0.000 0.000
Cr1 0.261 0.000 0.808
Hg1 0.027 0.500 0.526
Hg2 0.266 0.500 0.291

The volume is 81.0 Å³/f.u. The calculation puts the density at 11.17 Mg/m³.

---

#2
Density functional theory data (PBE-GGA) for a geometry-optimized ZrCrHg2 structure.

Unit cell a=3.244 b=4.881 c=5.162 alpha=90.00 beta=90.00 gamma=90.00
Space group Pmm2 (No. 25)
Unique sites:
Zr1 0.000 0.000 0.000
Cr1 0.000 0.500 0.641
Hg1 0.500 0.000 0.506
Hg2 0.500 0.500 0.138

The volume is 81.7 Å³/f.u. The calculation puts the density at 11.06 Mg/m³.

---

The data favor #2; the next most stable structure lies 26 meV per atom above it.

---

#1
Density functional theory data (PBE-GGA) for a geometry-optimized ZrCr3Hg structure.

Unit cell a=4.580 b=4.580 c=4.580 alpha=90.00 beta=90.00 gamma=90.00
Space group Pm-3m (No. 221)
Unique sites:
Zr1 0.000 0.000 0.000
Cr1 0.000 0.000 0.500
Hg1 0.500 0.500 0.500

The volume is 96.1 Å³/f.u. The calculation puts the density at 7.74 Mg/m³.

---

#2
Density functional theory data (PBE-GGA) for a geometry-optimized ZrCr3Hg structure.

Unit cell a=4.967 b=4.967 c=4.967 alpha=90.00 beta=90.00 gamma=90.00
Space group Pm-3m (No. 221)
Unique sites:
Zr1 0.000 0.000 0.000
Cr1 0.000 0.500 0.500
Hg1 0.500 0.500 0.500

The volume is 122.5 Å³/f.u. The calculation puts the density at 6.07 Mg/m³.

---

The data favor #2; the next most stable structure lies 387 meV per atom above it.